[1]
This record from OQMD describes a geometry-optimized NaDyFeTe3 structure. The functional is PBE.

Crystal system: monoclinic
Calculated density, kg/m3: 5706
ΔE to the lowest computed polymorph, eV/atom: 0.0000
VASP energy, eV per atom: -4.751

Cell: 8.913 4.203 10.018 Å, 90.00 104.51 90.00°
Element x y z (fractional)
Fe 0.435 0.750 0.422
Fe 0.565 0.250 0.578
Dy 0.828 0.750 0.851
Dy 0.172 0.250 0.149
Na 0.703 0.250 0.253
Na 0.297 0.750 0.747
Te 0.070 0.250 0.833
Te 0.577 0.250 0.846
Te 0.930 0.750 0.167
Te 0.264 0.250 0.472
Te 0.736 0.750 0.528
Te 0.423 0.750 0.154

=====

[2]
This record from OQMD describes a geometry-optimized NaDyFeTe3 structure. The functional is PBE.

Crystal system: orthorhombic
Calculated density, kg/m3: 5879
ΔE to the lowest computed polymorph, eV/atom: 0.0336
VASP energy, eV per atom: -4.717

Cell: 7.657 7.657 11.319 Å, 90.00 90.00 32.09°
Element x y z (fractional)
Dy 0.000 0.000 0.500
Dy 0.000 0.000 0.000
Na 0.756 0.756 0.250
Na 0.244 0.244 0.750
Te 0.640 0.640 0.930
Te 0.917 0.917 0.750
Te 0.640 0.640 0.570
Te 0.360 0.360 0.430
Te 0.360 0.360 0.070
Te 0.083 0.083 0.250
Fe 0.470 0.470 0.250
Fe 0.530 0.530 0.750

=====

[3]
This record from OQMD describes a geometry-optimized NaDyFeTe3 structure. The functional is PBE.

Crystal system: orthorhombic
Calculated density, kg/m3: 6101
ΔE to the lowest computed polymorph, eV/atom: 0.0794
VASP energy, eV per atom: -4.671

Cell: 11.993 4.383 12.928 Å, 90.00 90.00 90.00°
Element x y z (fractional)
Te 0.599 0.000 0.069
Te 0.714 0.500 0.322
Te 0.214 0.500 0.178
Te 0.949 0.000 0.138
Te 0.051 0.500 0.862
Te 0.286 0.000 0.678
Te 0.786 0.000 0.822
Te 0.449 0.000 0.362
Te 0.901 0.500 0.569
Te 0.099 0.000 0.431
Te 0.401 0.500 0.931
Te 0.551 0.500 0.638
Na 0.303 0.500 0.487
Na 0.197 0.000 0.987
Na 0.697 0.000 0.513
Na 0.803 0.500 0.013
Dy 0.974 0.500 0.306
Dy 0.026 0.000 0.694
Dy 0.526 0.000 0.806
Dy 0.474 0.500 0.194
Fe 0.250 0.500 0.785
Fe 0.250 0.000 0.285
Fe 0.750 0.000 0.215
Fe 0.750 0.500 0.715

=====

[4]
This record from OQMD describes a geometry-optimized NdDyFe structure. The functional is PBE.

Crystal system: cubic
Formation energy from the elements, eV/atom: 0.2476
Calculated density, kg/m3: 7986
ΔE to the lowest computed polymorph, eV/atom: 0.0000
VASP energy, eV per atom: -5.643

Cell: 4.742 4.742 4.742 Å, 60.00 60.00 60.00°
Element x y z (fractional)
Fe 0.000 0.000 0.000
Nd 0.750 0.750 0.750
Dy 0.250 0.250 0.250

=====

[5]
This record from OQMD describes a geometry-optimized Dy3Fe8Ni structure. The functional is PBE.

Crystal system: trigonal
Formation energy from the elements, eV/atom: -0.1089
Calculated density, kg/m3: 9159
VASP energy, eV per atom: -7.262

Cell: 8.637 8.637 8.637 Å, 34.05 34.05 34.05°
Element x y z (fractional)
Ni 0.500 0.500 0.500
Fe 0.582 0.582 0.080
Fe 0.080 0.582 0.582
Fe 0.920 0.418 0.418
Fe 0.418 0.920 0.418
Fe 0.667 0.667 0.667
Fe 0.582 0.080 0.582
Fe 0.333 0.333 0.333
Fe 0.418 0.418 0.920
Dy 0.858 0.858 0.858
Dy 0.000 0.000 0.000
Dy 0.142 0.142 0.142

=====

[6]
This record from OQMD describes a geometry-optimized Dy3Fe2Ni7 structure. The functional is PBE.

Crystal system: trigonal
Formation energy from the elements, eV/atom: -0.3491
Calculated density, kg/m3: 9614
VASP energy, eV per atom: -6.132

Cell: 8.581 8.581 8.581 Å, 33.82 33.82 33.82°
Element x y z (fractional)
Ni 0.419 0.918 0.419
Ni 0.581 0.082 0.581
Ni 0.918 0.419 0.419
Ni 0.500 0.500 0.500
Ni 0.082 0.581 0.581
Ni 0.581 0.581 0.082
Ni 0.419 0.419 0.918
Dy 0.861 0.861 0.861
Dy 0.000 0.000 0.000
Dy 0.139 0.139 0.139
Fe 0.333 0.333 0.333
Fe 0.667 0.667 0.667

=====

[7]
This record from OQMD describes a geometry-optimized DyFeNi structure. The functional is PBE.

Crystal system: cubic
Formation energy from the elements, eV/atom: 0.3211
Calculated density, kg/m3: 8404
VASP energy, eV per atom: -5.838

Cell: 4.262 4.262 4.262 Å, 60.00 60.00 60.00°
Element x y z (fractional)
Dy 0.250 0.250 0.250
Fe 0.000 0.000 0.000
Ni 0.750 0.750 0.750

=====

[8]
This record from OQMD describes a geometry-optimized Dy2FeSi4Ni structure. The functional is PBE.

Crystal system: orthorhombic
Calculated density, kg/m3: 7014
VASP energy, eV per atom: -6.327

Cell: 3.964 8.444 8.444 Å, 27.54 90.00 90.00°
Element x y z (fractional)
Si 0.000 0.543 0.543
Si 0.500 0.749 0.749
Si 0.500 0.459 0.459
Si 0.000 0.249 0.249
Dy 0.500 0.106 0.106
Dy 0.000 0.892 0.892
Ni 0.500 0.323 0.323
Fe 0.000 0.679 0.679

=====

[9]
This record from OQMD describes a geometry-optimized DyFeSi2Ni structure. The functional is PBE.

Crystal system: tetragonal
Calculated density, kg/m3: 7496
VASP energy, eV per atom: -6.628

Cell: 5.600 5.600 5.600 Å, 139.34 139.34 58.85°
Element x y z (fractional)
Dy 0.500 0.500 0.000
Si 0.127 0.127 0.000
Si 0.873 0.873 0.000
Fe 0.750 0.250 0.500
Ni 0.250 0.750 0.500

=====

[10]
This record from OQMD describes a geometry-optimized DyY2FeNi8 structure. The functional is PBE.

Crystal system: trigonal
Formation energy from the elements, eV/atom: -0.3393
Calculated density, kg/m3: 8255
VASP energy, eV per atom: -6.205

Cell: 8.553 8.553 8.553 Å, 33.97 33.97 33.97°
Element x y z (fractional)
Y 0.139 0.139 0.139
Y 0.861 0.861 0.861
Fe 0.500 0.500 0.500
Ni 0.417 0.417 0.918
Ni 0.082 0.583 0.583
Ni 0.918 0.417 0.417
Ni 0.667 0.667 0.667
Ni 0.583 0.583 0.082
Ni 0.583 0.082 0.583
Ni 0.333 0.333 0.333
Ni 0.417 0.918 0.417
Dy 0.000 0.000 0.000

=====

[11]
This record from OQMD describes a geometry-optimized DyY2Fe6Ni3 structure. The functional is PBE.

Crystal system: trigonal
Formation energy from the elements, eV/atom: -0.1442
Calculated density, kg/m3: 7901
VASP energy, eV per atom: -7.152

Cell: 8.769 8.769 8.769 Å, 33.10 33.10 33.10°
Element x y z (fractional)
Fe 0.582 0.081 0.582
Fe 0.418 0.418 0.919
Fe 0.418 0.919 0.418
Fe 0.919 0.418 0.418
Fe 0.081 0.582 0.582
Fe 0.582 0.582 0.081
Dy 0.000 0.000 0.000
Y 0.858 0.858 0.858
Y 0.142 0.142 0.142
Ni 0.333 0.333 0.333
Ni 0.667 0.667 0.667
Ni 0.500 0.500 0.500

=====

[12]
This record from OQMD describes a geometry-optimized Dy2YFe8Ni structure. The functional is PBE.

Crystal system: trigonal
Formation energy from the elements, eV/atom: -0.1072
Calculated density, kg/m3: 8473
VASP energy, eV per atom: -7.416

Cell: 8.634 8.634 8.634 Å, 34.08 34.08 34.08°
Element x y z (fractional)
Fe 0.920 0.418 0.418
Fe 0.418 0.418 0.920
Fe 0.667 0.667 0.667
Fe 0.418 0.920 0.418
Fe 0.333 0.333 0.333
Fe 0.080 0.582 0.582
Fe 0.582 0.582 0.080
Fe 0.582 0.080 0.582
Dy 0.858 0.858 0.858
Dy 0.142 0.142 0.142
Y 0.000 0.000 0.000
Ni 0.500 0.500 0.500